Compound: BaLi2NdGe2
Source: Alexandria via LeMat-Bulk
Functional: GGA-PBE
Structure: relaxed

Properties
energy of formation: -551 meV/atom
energy: -23.06 eV/cell
total magnetic moment: 0.0 μB/f.u.
V: 25.675 A^3/atom

a = 4.6813 Å, b = 4.6813 Å, c = 8.1173 Å
α = 90.00°, β = 90.00°, γ = 120.00°
Sites, in units of the cell vectors:
Ge  0.3333  0.6667  0.3005
Ge  0.6667  0.3333  0.6995
Ba  0.0000  0.0000  0.0000
Li  0.3333  0.6667  0.6882
Li  0.6667  0.3333  0.3118
Nd  0.0000  0.0000  0.5000